# 1
# PBE-GGA NaCuAs, relaxed
data_NaCuAs
_chemical_formula_sum 'Na4 Cu4 As4'
_cell_length_a 6.2779
_cell_length_b 6.2779
_cell_length_c 6.2779
_cell_angle_alpha 90.00
_cell_angle_beta 90.00
_cell_angle_gamma 90.00
_symmetry_space_group_name_H-M 'F -4 3 m'
_symmetry_Int_Tables_number 216
_symmetry_space_group_name_Hall 'F -4 2 3'
loop_
_atom_site_label
_atom_site_type_symbol
_atom_site_fract_x
_atom_site_fract_y
_atom_site_fract_z
Na1 Na 0.0000 0.0000 0.0000
Cu1 Cu 0.2500 0.2500 0.2500
As1 As 0.2500 0.2500 0.7500
# **E_tot**: -8.04 eV/f.u.

***

# 2
# PBE-GGA NdHoHg, relaxed
data_NdHoHg
_chemical_formula_sum 'Nd4 Ho4 Hg4'
_cell_length_a 7.2982
_cell_length_b 7.2982
_cell_length_c 7.2982
_cell_angle_alpha 90.00
_cell_angle_beta 90.00
_cell_angle_gamma 90.00
_symmetry_space_group_name_H-M 'F -4 3 m'
_symmetry_Int_Tables_number 216
_symmetry_space_group_name_Hall 'F -4 2 3'
loop_
_atom_site_label
_atom_site_type_symbol
_atom_site_fract_x
_atom_site_fract_y
_atom_site_fract_z
Nd1 Nd 0.0000 0.0000 0.0000
Ho1 Ho 0.0000 0.0000 0.5000
Hg1 Hg 0.2500 0.2500 0.7500
# **E_tot**: -9.93 eV/f.u.
# **Magnetic moment**: 0.19 μB per formula unit
# **Energy relative to the elements**: -98 meV/atom
# **Polymorph energy (0 for the lowest one)**: 0 meV/atom

***

# 3
# PBE-GGA InCuMoW, relaxed
data_InCuMoW
_chemical_formula_sum 'In4 Cu4 Mo4 W4'
_cell_length_a 6.3848
_cell_length_b 6.3848
_cell_length_c 6.3848
_cell_angle_alpha 90.00
_cell_angle_beta 90.00
_cell_angle_gamma 90.00
_symmetry_space_group_name_H-M 'F -4 3 m'
_symmetry_Int_Tables_number 216
_symmetry_space_group_name_Hall 'F -4 2 3'
loop_
_atom_site_label
_atom_site_type_symbol
_atom_site_fract_x
_atom_site_fract_y
_atom_site_fract_z
In1 In 0.0000 0.0000 0.0000
Cu1 Cu 0.2500 0.2500 0.2500
Mo1 Mo 0.2500 0.2500 0.7500
W1 W 0.0000 0.0000 0.5000
# **E_tot**: -28.40 eV/f.u.
# **Magnetic moment**: 0.00 μB per formula unit
# **Polymorph energy (0 for the lowest one)**: 0 meV/atom

***

# 4
# PBE-GGA BaTmAgS3, relaxed
data_BaTmAgS3
_chemical_formula_sum 'Ba2 Tm2 Ag2 S6'
_cell_length_a 8.2653
_cell_length_b 4.0922
_cell_length_c 9.2368
_cell_angle_alpha 90.00
_cell_angle_beta 106.74
_cell_angle_gamma 90.00
_symmetry_space_group_name_H-M 'P 1 21/m 1'
_symmetry_Int_Tables_number 11
_symmetry_space_group_name_Hall '-P 2yb'
loop_
_atom_site_label
_atom_site_type_symbol
_atom_site_fract_x
_atom_site_fract_y
_atom_site_fract_z
Ba1 Ba 0.2181 0.2500 0.2541
Tm1 Tm 0.3199 0.7500 0.8453
Ag1 Ag 0.0939 0.2500 0.5946
S1 S 0.1052 0.2500 0.8711
S2 S 0.2577 0.7500 0.5373
S3 S 0.4546 0.7500 0.1482
# **E_tot**: -31.31 eV/f.u.
# **Magnetic moment**: 0.00 μB per formula unit